1.
A geometry-optimized Ac4Ir2F5 structure, computed with PBE.

Crystal system = monoclinic
Formation energy (no corrections) = -2742.4 kJ/mol of formula units
Total moment = 0.0 μB/f.u.

Cell: 8.292 8.292 6.999 Å, 97.55 97.55 30.40°
Atoms (fractional coordinates):
Ac: 0.088 0.088 0.302
Ac: 0.343 0.343 0.198
Ac: 0.657 0.657 0.802
Ac: 0.912 0.912 0.698
Ir: 0.280 0.280 0.568
Ir: 0.720 0.720 0.432
F: 0.075 0.075 0.682
F: 0.184 0.184 0.014
F: 0.500 0.500 0.500
F: 0.816 0.816 0.986
F: 0.925 0.925 0.318

=====

2.
A geometry-optimized Ac2IrF structure, computed with PBE.

Crystal system = trigonal
Formation energy (no corrections) = -635.2 kJ/mol of formula units
Total moment = 0.0 μB/f.u.

Cell: 8.535 8.535 8.535 Å, 29.06 29.06 29.06°
Atoms (fractional coordinates):
Ac: 0.000 0.000 0.000
Ac: 0.197 0.197 0.197
Ir: 0.605 0.605 0.605
F: 0.822 0.822 0.822

=====

3.
A geometry-optimized Ac2IrF structure, computed with PBE.

Crystal system = tetragonal
Formation energy (no corrections) = -500.7 kJ/mol of formula units
Total moment = 0.0 μB/f.u.

Cell: 3.618 3.618 7.708 Å, 90.00 90.00 90.00°
Atoms (fractional coordinates):
Ac: 0.000 0.000 0.236
Ac: 0.000 0.000 0.764
Ir: 0.500 0.500 0.000
F: 0.500 0.500 0.500

=====

4.
A geometry-optimized Ac2IrF structure, computed with PBE.

Crystal system = trigonal
Formation energy (no corrections) = -670.6 kJ/mol of formula units
Total moment = 0.0 μB/f.u.

Cell: 8.430 8.430 8.430 Å, 30.59 30.59 30.59°
Atoms (fractional coordinates):
Ac: 0.102 0.102 0.102
Ac: 0.898 0.898 0.898
Ir: 0.500 0.500 0.500
F: 0.000 0.000 0.000

=====

> The highest formation energy (no corrections) belongs to which entry?

number 3

=====

> What is the formula in the third record?

Ac2IrF

=====

> What is the total moment in the second record?

0.0 μB/f.u.

=====

What did the third record say?
A geometry-optimized Ac2IrF structure, computed with PBE.

Crystal system = tetragonal
Formation energy (no corrections) = -500.7 kJ/mol of formula units
Total moment = 0.0 μB/f.u.

Cell: 3.618 3.618 7.708 Å, 90.00 90.00 90.00°
Atoms (fractional coordinates):
Ac: 0.000 0.000 0.236
Ac: 0.000 0.000 0.764
Ir: 0.500 0.500 0.000
F: 0.500 0.500 0.500